Below is a relaxed TeWIN2 crystal, with properties calculated at the PBE level.

As for the density of states at the Fermi level: 2.299 states/eV/f.u. For the uncorrected formation energy, the calculation gives 63 kJ/mol of atoms. As for the energy above the most stable polymorph in this dataset: 0 meV/atom. The magnetization comes out at 0.8 μB/f.u.

The space group is P4/mmm (No. 123) and the conventional cell measures 4.0906, 4.0906 and 5.8291 Å, with angles of 90.00, 90.00 and 90.00 degrees. The asymmetric unit holds Te at (0.0000, 0.0000, 0.0000), W at (0.0000, 0.0000, 0.5000), I at (0.5000, 0.5000, 0.0000) and N at (0.0000, 0.5000, 0.5000).